Record 1
DFT (PBE-GGA) results for a relaxed structure of LaTbSeS2.

Structure (CIF):
```
data_LaTbSeS2
_chemical_formula_sum 'La4 Tb4 Se4 S8'
_cell_length_a 6.3148
_cell_length_b 13.8914
_cell_length_c 6.3115
_cell_angle_alpha 90.00
_cell_angle_beta 90.00
_cell_angle_gamma 90.00
_space_group_name_H-M_alt 'C m c m'
_space_group_IT_number 63
_space_group_name_Hall '-C 2c 2'
loop_
_atom_site_label
_atom_site_fract_x
_atom_site_fract_y
_atom_site_fract_z
La1 0.0000 0.1217 0.2500
Tb1 0.0000 0.4004 0.2500
Se1 0.0000 0.2499 0.7500
S1 0.2480 0.0000 0.0000
```

Computed properties:
The calculation puts the uncorrected energy at -29.76 eV/f.u. The calculation puts the uncorrected formation energy at -1692 meV per atom. The crystal system is orthorhombic.

Record 2
DFT (PBE-GGA) results for a relaxed structure of LaTbSeS.

Structure (CIF):
```
data_LaTbSeS
_chemical_formula_sum 'La3 Tb3 Se3 S3'
_cell_length_a 4.0992
_cell_length_b 4.0992
_cell_length_c 20.4668
_cell_angle_alpha 90.00
_cell_angle_beta 90.00
_cell_angle_gamma 120.00
_space_group_name_H-M_alt 'R 3 m'
_space_group_IT_number 160
_space_group_name_Hall 'R 3 -2"'
loop_
_atom_site_label
_atom_site_fract_x
_atom_site_fract_y
_atom_site_fract_z
La1 0.0000 0.0000 0.0000
Tb1 0.0000 0.0000 0.4858
Se1 0.0000 0.0000 0.2377
S1 0.0000 0.0000 0.7494
```

Computed properties:
The calculation puts the uncorrected energy at -25.17 eV/f.u. The calculation puts the uncorrected formation energy at -2000 meV per atom. The crystal system is trigonal.

Record 3
DFT (PBE-GGA) results for a relaxed structure of LaTbSe2S.

Structure (CIF):
```
data_LaTbSe2S
_chemical_formula_sum 'La4 Tb4 Se8 S4'
_cell_length_a 4.1271
_cell_length_b 13.3446
_cell_length_c 9.7400
_cell_angle_alpha 90.00
_cell_angle_beta 90.00
_cell_angle_gamma 90.00
_space_group_name_H-M_alt 'C m c m'
_space_group_IT_number 63
_space_group_name_Hall '-C 2c 2'
loop_
_atom_site_label
_atom_site_fract_x
_atom_site_fract_y
_atom_site_fract_z
La1 0.0000 0.2363 0.2500
Tb1 0.0000 0.5000 0.0000
Se1 0.0000 0.1440 0.5636
S1 0.0000 0.4114 0.7500
```

Computed properties:
The calculation puts the uncorrected energy at -30.94 eV/f.u. The calculation puts the uncorrected formation energy at -2058 meV per atom. The crystal system is orthorhombic.

Record 4
DFT (PBE-GGA) results for a relaxed structure of La4TeSe2S.

Structure (CIF):
```
data_La4TeSe2S
_chemical_formula_sum 'La4 Te1 Se2 S1'
_cell_length_a 7.5262
_cell_length_b 4.3280
_cell_length_c 7.5852
_cell_angle_alpha 90.00
_cell_angle_beta 109.25
_cell_angle_gamma 90.00
_space_group_name_H-M_alt 'P 1 2/m 1'
_space_group_IT_number 10
_space_group_name_Hall '-P 2y'
loop_
_atom_site_label
_atom_site_fract_x
_atom_site_fract_y
_atom_site_fract_z
La1 0.2407 0.0000 0.2254
La2 0.2557 0.5000 0.7719
Te1 0.5000 0.5000 0.5000
Se1 0.0000 0.0000 0.5000
Se2 0.0000 0.5000 0.0000
S1 0.5000 0.0000 0.0000
```

Computed properties:
The calculation puts the uncorrected energy at -49.24 eV/f.u. The calculation puts the uncorrected formation energy at -1911 meV per atom. The crystal system is monoclinic.

Record 5
DFT (PBE-GGA) results for a relaxed structure of La4TeSeS2.

Structure (CIF):
```
data_La4TeSeS2
_chemical_formula_sum 'La4 Te1 Se1 S2'
_cell_length_a 7.4402
_cell_length_b 4.2699
_cell_length_c 7.5329
_cell_angle_alpha 90.00
_cell_angle_beta 109.04
_cell_angle_gamma 90.00
_space_group_name_H-M_alt 'P 1 2/m 1'
_space_group_IT_number 10
_space_group_name_Hall '-P 2y'
loop_
_atom_site_label
_atom_site_fract_x
_atom_site_fract_y
_atom_site_fract_z
La1 0.2296 0.0000 0.2173
La2 0.2487 0.5000 0.7756
Te1 0.5000 0.5000 0.5000
Se1 0.0000 0.0000 0.5000
S1 0.0000 0.5000 0.0000
S2 0.5000 0.0000 0.0000
```

Computed properties:
The calculation puts the uncorrected energy at -50.36 eV/f.u. The calculation puts the uncorrected formation energy at -1971 meV per atom. The crystal system is monoclinic.

Record 6
DFT (PBE-GGA) results for a relaxed structure of La6Te3SeS2.

Structure (CIF):
```
data_La6Te3SeS2
_chemical_formula_sum 'La12 Te6 Se2 S4'
_cell_length_a 7.5537
_cell_length_b 13.0888
_cell_length_c 7.7273
_cell_angle_alpha 90.00
_cell_angle_beta 109.03
_cell_angle_gamma 90.00
_space_group_name_H-M_alt 'C 1 2/m 1'
_space_group_IT_number 12
_space_group_name_Hall '-C 2y'
loop_
_atom_site_label
_atom_site_fract_x
_atom_site_fract_y
_atom_site_fract_z
La1 0.2288 0.0000 0.2126
La2 0.2427 0.3290 0.2149
Te1 0.0000 0.0000 0.5000
Te2 0.0000 0.3363 0.5000
Se1 0.0000 0.5000 0.0000
S1 0.0000 0.1671 0.0000
```

Computed properties:
The calculation puts the uncorrected energy at -72.96 eV/f.u. The calculation puts the uncorrected formation energy at -1852 meV per atom. The crystal system is monoclinic.

Record 7
DFT (PBE-GGA) results for a relaxed structure of La8Te4SeS3.

Structure (CIF):
```
data_La8Te4SeS3
_chemical_formula_sum 'La24 Te12 Se3 S9'
_cell_length_a 8.7096
_cell_length_b 8.7096
_cell_length_c 21.9092
_cell_angle_alpha 90.00
_cell_angle_beta 90.00
_cell_angle_gamma 120.00
_space_group_name_H-M_alt 'R -3 m'
_space_group_IT_number 166
_space_group_name_Hall '-R 3 2"'
loop_
_atom_site_label
_atom_site_fract_x
_atom_site_fract_y
_atom_site_fract_z
La1 0.0000 0.0000 0.2368
La2 0.0078 0.5039 0.7621
Te1 0.0000 0.0000 0.0000
Te2 0.0000 0.5000 0.0000
Se1 0.0000 0.0000 0.5000
S1 0.0000 0.5000 0.5000
```

Computed properties:
The calculation puts the uncorrected energy at -97.57 eV/f.u. The calculation puts the uncorrected formation energy at -1857 meV per atom. The crystal system is trigonal.

Record 8
DFT (PBE-GGA) results for a relaxed structure of LaThSeS.

Structure (CIF):
```
data_LaThSeS
_chemical_formula_sum 'La3 Th3 Se3 S3'
_cell_length_a 4.0228
_cell_length_b 4.0228
_cell_length_c 22.3837
_cell_angle_alpha 90.00
_cell_angle_beta 90.00
_cell_angle_gamma 120.00
_space_group_name_H-M_alt 'R 3 m'
_space_group_IT_number 160
_space_group_name_Hall 'R 3 -2"'
loop_
_atom_site_label
_atom_site_fract_x
_atom_site_fract_y
_atom_site_fract_z
La1 0.0000 0.0000 0.0000
Th1 0.0000 0.0000 0.1808
Se1 0.0000 0.0000 0.4247
S1 0.0000 0.0000 0.5890
```

Computed properties:
The calculation puts the uncorrected energy at -27.17 eV/f.u. The calculation puts the uncorrected formation energy at -1802 meV per atom. The crystal system is trigonal.

Which formula does entry 8 have?
LaThSeS